Y4TmN4, optimized geometry, DFT GGA-PBE; ρ = 6.5 g cm⁻³; volume = 16.6 A^3/atom; DFT total energy = -8.58 eV per atom; formation energy (no corrections) = -1.513 eV/atom
1.0
-2.199 3.960 -1.939
-4.326 -1.295 -3.997
-4.820 1.899 3.086
Y N Tm
4 4 1
Cartesian
-8.035 3.279 -2.971
-4.824 2.042 -2.879
-6.522 2.522 0.028
-3.311 1.285 0.120
-7.052 1.281 -1.905
-4.294 3.283 -0.945
-3.794 -0.027 -2.012
-7.552 4.591 -0.838
0.000 0.000 0.000